Entry 1:
This record from the Alexandria database describes a relaxed structure of Sr2MgCd3Ga4. The functional is PBE.

Cell: 4.6272 4.6272 11.5170 Å, 90.00 90.00 90.00°
With the nearest neighbours (Å) after each atom.
Element x y z (fractional)
Sr 0.0000 0.5000 0.2470  6 Cd 3.52-3.72, 8 Ga 3.54-3.67, 2 Mg 3.72
Sr 0.5000 0.0000 0.7530  6 Cd 3.52-3.72, 8 Ga 3.54-3.67, 2 Mg 3.72
Mg 0.0000 0.0000 0.5000  4 Ga 2.79
Cd 0.0000 0.5000 0.8664  5 Ga 2.66-2.78
Cd 0.5000 0.0000 0.1336  5 Ga 2.66-2.78
Cd 0.5000 0.5000 0.5000  4 Ga 2.79
Ga 0.0000 0.0000 0.0000  4 Cd 2.78
Ga 0.0000 0.5000 0.6353  3 Cd 2.66-2.79, 2 Mg 2.79
Ga 0.5000 0.0000 0.3647  3 Cd 2.66-2.79, 2 Mg 2.79
Ga 0.5000 0.5000 0.0000  4 Cd 2.78

Output
* ρ: 5.49 Mg/m³
* magnetic moment: 0.0 μB per formula unit
* total DFT energy (no corrections): -2.283 eV per atom
* symmetry: P-4m2, No. 115
* formation energy from the elements: -302 meV/atom

=====

Entry 2:
This record from the Alexandria database describes a relaxed structure of Mg2TaW. The functional is PBE.

Cell: 2.7620 2.7620 9.8039 Å, 90.00 90.00 105.53°
With the nearest neighbours (Å) after each atom.
Element x y z (fractional)
Mg 0.0000 0.0000 0.2404  4 Mg 2.76, 2 W 2.89, 2 Ta 3.04
Mg 0.0000 0.0000 0.7596  4 Mg 2.76, 2 W 2.89, 2 Ta 3.04
Ta 0.5000 0.5000 0.5000  4 Ta 2.76, 4 Mg 3.04
W 0.5000 0.5000 0.0000  4 W 2.76, 4 Mg 2.89

Output
* ρ: 9.53 Mg/m³
* energy relative to the lowest polymorph listed for this composition: 67.7 kJ/mol of formula units
* magnetic moment: 0.0 μB per formula unit
* total DFT energy (no corrections): -6.623 eV per atom
* symmetry: Cmmm, No. 65
* formation energy from the elements: 375 meV/atom

=====

Entry 3:
This record from the Alexandria database describes a relaxed structure of Ac2ThPaN5. The functional is PBE.

Cell: 4.2816 4.2816 9.3361 Å, 90.00 90.00 90.00°
With the nearest neighbours (Å) after each atom.
Element x y z (fractional)
Ac 0.0000 0.0000 0.2188  1 N 2.63
Ac 0.0000 0.0000 0.7812  1 N 2.63
Th 0.5000 0.5000 0.5000  2 N 2.22
Pa 0.5000 0.5000 0.0000  4 N 2.14
N 0.0000 0.0000 0.5000  2 Ac 2.63
N 0.0000 0.5000 0.0000  2 Pa 2.14
N 0.5000 0.0000 0.0000  2 Pa 2.14
N 0.5000 0.5000 0.2620  1 Th 2.22, 1 Pa 2.45
N 0.5000 0.5000 0.7380  1 Th 2.22, 1 Pa 2.45

Output
* ρ: 9.58 Mg/m³
* magnetic moment: 0.0 μB per formula unit
* total DFT energy (no corrections): -8.699 eV per atom
* symmetry: P4/mmm, No. 123
* energy relative to the elements, uncorrected: -11.53 eV/f.u.

=====

Entry 4:
This record from the Alexandria database describes a relaxed structure of CsAcAu2. The functional is PBE.

Cell: 5.8022 5.8022 3.8605 Å, 90.00 90.00 90.00°
With the nearest neighbours (Å) after each atom.
Element x y z (fractional)
Cs 0.0000 0.0000 0.0000  8 Au 3.48, 2 Cs 3.86
Ac 0.5000 0.5000 0.0000  8 Au 3.48, 2 Ac 3.86
Au 0.0000 0.5000 0.5000  4 Ac 3.48, 4 Cs 3.48, 2 Au 3.86
Au 0.5000 0.0000 0.5000  4 Ac 3.48, 4 Cs 3.48, 2 Au 3.86

Output
* ρ: 9.63 Mg/m³
* magnetic moment: 0.0 μB per formula unit
* total DFT energy (no corrections): -3.258 eV per atom
* symmetry: P4/mmm, No. 123
* formation energy from the elements: -379 meV/atom

=====

Entry 5:
This record from the Alexandria database describes a relaxed structure of RbTiAg3. The functional is PBE.

Cell: 5.4875 5.4875 5.4875 Å, 90.00 90.00 90.00°
With the nearest neighbours (Å) after each atom.
Element x y z (fractional)
Rb 0.0000 0.0000 0.0000  6 Ag 2.74
Ti 0.5000 0.5000 0.5000  12 Ag 3.88
Ag 0.0000 0.0000 0.5000  2 Rb 2.74
Ag 0.0000 0.5000 0.0000  2 Rb 2.74
Ag 0.5000 0.0000 0.0000  2 Rb 2.74

Output
* ρ: 4.59 Mg/m³
* energy relative to the lowest polymorph listed for this composition: 534.2 kJ/mol of formula units
* magnetic moment: 0.0 μB per formula unit
* total DFT energy (no corrections): -1.752 eV per atom
* symmetry: Pm-3m, No. 221
* formation energy from the elements: 1731 meV/atom

=====

Entry 6:
This record from the Alexandria database describes a relaxed structure of AgPRh2. The functional is PBE.

Cell: 6.5313 6.5313 6.5313 Å, 31.11 31.11 31.11°
With the nearest neighbours (Å) after each atom.
Element x y z (fractional)
Ag 0.0000 0.0000 0.0000  6 Rh 2.87-2.88, 1 P 3.12
P 0.1677 0.1677 0.1677  6 Rh 2.28-2.29
Rh 0.5573 0.5573 0.5573  3 P 2.28
Rh 0.7769 0.7769 0.7769  3 P 2.29

Output
* ρ: 8.67 Mg/m³
* magnetic moment: 0.0 μB per formula unit
* total DFT energy (no corrections): -6.035 eV per atom
* symmetry: R3m, No. 160
* formation energy from the elements: -294 meV/atom

=====

Entry 7:
This record from the Alexandria database describes a relaxed structure of Ho4ZnSb2. The functional is PBE.

Cell: 7.8276 7.8276 7.4318 Å, 117.34 117.34 30.96°
With the nearest neighbours (Å) after each atom.
Element x y z (fractional)
Ho 0.1143 0.1143 0.2596  1 Zn 3.02, 3 Sb 3.04-3.07
Ho 0.3856 0.3856 0.1799  2 Zn 3.02, 3 Sb 3.02-3.07
Ho 0.6144 0.6144 0.8201  2 Zn 3.02, 3 Sb 3.02-3.07
Ho 0.8857 0.8857 0.7404  1 Zn 3.02, 3 Sb 3.04-3.07
Zn 0.0000 0.0000 0.5000  6 Ho 3.02, 2 Sb 3.13
Sb 0.2362 0.2362 0.7280  6 Ho 3.02-3.07, 1 Zn 3.13
Sb 0.7638 0.7638 0.2720  6 Ho 3.02-3.07, 1 Zn 3.13

Output
* ρ: 7.81 Mg/m³
* magnetic moment: 0.0 μB per formula unit
* total DFT energy (no corrections): -4.529 eV per atom
* symmetry: C2/m, No. 12
* energy relative to the elements, uncorrected: -3.88 eV/f.u.

=====

Entry 8:
This record from the Alexandria database describes a relaxed structure of PaCrP2Ru2. The functional is PBE.

Cell: 7.5952 7.5952 7.5952 Å, 150.89 150.89 41.64°
With the nearest neighbours (Å) after each atom.
Element x y z (fractional)
Pa 0.0000 0.0000 0.0000  4 Cr 2.70
Cr 0.5000 0.5000 0.0000  2 P 2.23
P 0.3427 0.3427 0.0000  1 Cr 2.23, 4 Ru 2.32
P 0.6573 0.6573 0.0000  1 Cr 2.23, 4 Ru 2.32
Ru 0.2500 0.7500 0.5000  4 P 2.32
Ru 0.7500 0.2500 0.5000  4 P 2.32

Output
* ρ: 8.78 Mg/m³
* magnetic moment: 0.0 μB per formula unit
* total DFT energy (no corrections): -8.417 eV per atom
* symmetry: I4/mmm, No. 139
* formation energy from the elements: -335 meV/atom

=====

Entry 9:
This record from the Alexandria database describes a relaxed structure of Cs2PtIN. The functional is PBE.

Cell: 7.0054 7.0054 3.7745 Å, 90.00 90.00 90.00°
With the nearest neighbours (Å) after each atom.
Element x y z (fractional)
Cs 0.0000 0.5000 0.0000  2 Pt 3.50, 2 Cs 3.77
Cs 0.5000 0.0000 0.0000  2 Pt 3.50, 2 Cs 3.77
Pt 0.0000 0.0000 0.0000  2 N 1.89
I 0.5000 0.5000 0.5000  2 I 3.77, 8 Cs 3.98
N 0.0000 0.0000 0.5000  2 Pt 1.89

Output
* ρ: 5.39 Mg/m³
* energy relative to the lowest polymorph listed for this composition: 29.8 kJ/mol of formula units
* magnetic moment: 0.0 μB per formula unit
* total DFT energy (no corrections): -4.066 eV per atom
* symmetry: P4/mmm, No. 123
* energy relative to the elements, uncorrected: -2.71 eV/f.u.

=====

Entry 10:
This record from the Alexandria database describes a relaxed structure of Cs3Y2F9. The functional is PBE.

Cell: 8.4708 8.4708 8.4708 Å, 87.92 87.92 87.92°
With the nearest neighbours (Å) after each atom.
Element x y z (fractional)
Cs 0.0851 0.7500 0.4149  12 F 3.21-3.48
Cs 0.2500 0.5851 0.9149  12 F 3.21-3.48
Cs 0.4149 0.0851 0.7500  12 F 3.21-3.48
Cs 0.5851 0.9149 0.2500  12 F 3.21-3.48
Cs 0.7500 0.4149 0.0851  12 F 3.21-3.48
Cs 0.9149 0.2500 0.5851  12 F 3.21-3.48
Y 0.1398 0.1398 0.1398  6 F 2.13-2.30
Y 0.3602 0.3602 0.3602  6 F 2.13-2.30
Y 0.6398 0.6398 0.6398  6 F 2.13-2.30
Y 0.8602 0.8602 0.8602  6 F 2.13-2.30
F 0.0746 0.2557 0.9239  1 Y 2.13
F 0.0761 0.9254 0.7443  1 Y 2.13
F 0.1164 0.3836 0.2500  2 Y 2.30
F 0.2443 0.4254 0.5761  1 Y 2.13
F 0.2500 0.1164 0.3836  2 Y 2.30
F 0.2557 0.9239 0.0746  1 Y 2.13
F 0.3836 0.2500 0.1164  2 Y 2.30
F 0.4239 0.7557 0.5746  1 Y 2.13
F 0.4254 0.5761 0.2443  1 Y 2.13
F 0.5746 0.4239 0.7557  1 Y 2.13
F 0.5761 0.2443 0.4254  1 Y 2.13
F 0.6164 0.7500 0.8836  2 Y 2.30
F 0.7443 0.0761 0.9254  1 Y 2.13
F 0.7500 0.8836 0.6164  2 Y 2.30
F 0.7557 0.5746 0.4239  1 Y 2.13
F 0.8836 0.6164 0.7500  2 Y 2.30
F 0.9239 0.0746 0.2557  1 Y 2.13
F 0.9254 0.7443 0.0761  1 Y 2.13

Output
* ρ: 4.09 Mg/m³
* magnetic moment: 0.4 μB per formula unit
* total DFT energy (no corrections): -5.823 eV per atom
* symmetry: R-3c, No. 167
* energy relative to the elements, uncorrected: -49.19 eV/f.u.

=====

Entry 11:
This record from the Alexandria database describes a relaxed structure of ZnCu2Br6. The functional is PBE.

Cell: 9.9032 9.9032 6.3698 Å, 102.45 102.45 102.33°
With the nearest neighbours (Å) after each atom.
Element x y z (fractional)
Zn 0.2038 0.7962 0.7500  4 Br 2.43-2.46
Zn 0.7962 0.2038 0.2500  4 Br 2.43-2.46
Cu 0.2037 0.3732 0.4093  4 Br 2.35-2.43
Cu 0.3732 0.2037 0.9093  4 Br 2.35-2.43
Cu 0.6268 0.7963 0.0907  4 Br 2.35-2.43
Cu 0.7963 0.6268 0.5907  4 Br 2.35-2.43
Br 0.0053 0.2280 0.0964  1 Cu 2.40, 1 Zn 2.46
Br 0.1613 0.6050 0.4115  1 Cu 2.42, 1 Zn 2.43
Br 0.2280 0.0053 0.5964  1 Cu 2.40, 1 Zn 2.46
Br 0.2935 0.3980 0.7927  2 Cu 2.35-2.43
Br 0.3950 0.8387 0.0885  1 Cu 2.42, 1 Zn 2.43
Br 0.3980 0.2935 0.2927  2 Cu 2.35-2.43
Br 0.6020 0.7065 0.7073  2 Cu 2.35-2.43
Br 0.6050 0.1613 0.9115  1 Cu 2.42, 1 Zn 2.43
Br 0.7065 0.6020 0.2073  2 Cu 2.35-2.43
Br 0.7720 0.9947 0.4036  1 Cu 2.40, 1 Zn 2.46
Br 0.8387 0.3950 0.5885  1 Cu 2.42, 1 Zn 2.43
Br 0.9947 0.7720 0.9036  1 Cu 2.40, 1 Zn 2.46

Output
* ρ: 3.89 Mg/m³
* magnetic moment: 0.0 μB per formula unit
* total DFT energy (no corrections): -2.601 eV per atom
* symmetry: C2/c, No. 15
* energy relative to the elements, uncorrected: -3.91 eV/f.u.

=====

Entry 12:
This record from the Alexandria database describes a relaxed structure of Ho2BeF8. The functional is PBE.

Cell: 5.6735 5.6735 4.4547 Å, 104.20 104.20 75.74°
With the nearest neighbours (Å) after each atom.
Element x y z (fractional)
Ho 0.1835 0.1835 0.3666  8 F 2.15-2.40
Ho 0.8165 0.8165 0.6334  8 F 2.15-2.40
Be 0.5000 0.5000 0.0000  2 F 1.57
F 0.0855 0.0855 0.7992  3 Ho 2.29-2.40
F 0.1767 0.5514 0.7302  1 Be 1.93
F 0.3864 0.3864 0.2070  1 Be 1.57
F 0.4486 0.8233 0.2698  1 Be 1.93
F 0.5514 0.1767 0.7302  1 Be 1.93
F 0.6136 0.6136 0.7930  1 Be 1.57
F 0.8233 0.4486 0.2698  1 Be 1.93
F 0.9145 0.9145 0.2008  3 Ho 2.29-2.40

Output
* ρ: 6.17 Mg/m³
* magnetic moment: 0.0 μB per formula unit
* total DFT energy (no corrections): -6.357 eV per atom
* symmetry: C2/m, No. 12
* energy relative to the elements, uncorrected: -42.07 eV/f.u.

=====

Question: Look up the total DFT energy (no corrections) of the ninth one.
Answer: -4.066 eV per atom

=====

Question: What is the total DFT energy (no corrections) in the eleventh record?
Answer: -2.601 eV per atom

=====

Question: What is the formula in the first record?
Answer: Sr2MgCd3Ga4

=====

Question: Among the records above, which one has the highest ρ?
Answer: CsAcAu2